A relaxed structure of CaZn3NiPt. Source: Alexandria via LeMat-Bulk, functional PBE.

Structure (CIF):
```
data_CaZn3NiPt
_cell_length_a 6.716
_cell_length_b 6.716
_cell_length_c 5.398
_cell_angle_alpha 90.00
_cell_angle_beta 90.00
_cell_angle_gamma 108.35
_space_group_name_H-M_alt 'P 1'
_space_group_IT_number 1
loop_
_space_group_symop_operation_xyz
'x,y,z'
loop_
_atom_site_label
_atom_site_fract_x
_atom_site_fract_y
_atom_site_fract_z
_atom_site_occupancy
Ca1 0.204 0.796 0.750 1
Ca2 0.796 0.204 0.250 1
Zn1 0.250 0.250 0.000 1
Zn2 0.250 0.250 0.500 1
Zn3 0.323 0.677 0.250 1
Zn4 0.677 0.323 0.750 1
Zn5 0.750 0.750 0.000 1
Zn6 0.750 0.750 0.500 1
Ni1 0.463 0.537 0.750 1
Ni2 0.537 0.463 0.250 1
Pt1 0.091 0.909 0.250 1
Pt2 0.909 0.091 0.750 1
```

***

A relaxed structure of CaZnNiPt2. Source: Alexandria via LeMat-Bulk, functional PBE.

Structure (CIF):
```
data_CaZnNiPt2
_cell_length_a 4.720
_cell_length_b 4.720
_cell_length_c 4.415
_cell_angle_alpha 90.00
_cell_angle_beta 90.00
_cell_angle_gamma 90.00
_space_group_name_H-M_alt 'P 1'
_space_group_IT_number 1
loop_
_space_group_symop_operation_xyz
'x,y,z'
loop_
_atom_site_label
_atom_site_fract_x
_atom_site_fract_y
_atom_site_fract_z
_atom_site_occupancy
Ca1 0.000 0.000 0.000 1
Zn1 0.500 0.500 0.500 1
Ni1 0.500 0.500 0.000 1
Pt1 0.000 0.500 0.500 1
Pt2 0.500 0.000 0.500 1
```

***

A relaxed structure of Ca2ZnNi2Pt5. Source: Alexandria via LeMat-Bulk, functional PBE.

Structure (CIF):
```
data_Ca2ZnNi2Pt5
_cell_length_a 9.275
_cell_length_b 9.275
_cell_length_c 3.889
_cell_angle_alpha 90.00
_cell_angle_beta 90.00
_cell_angle_gamma 90.00
_space_group_name_H-M_alt 'P 1'
_space_group_IT_number 1
loop_
_space_group_symop_operation_xyz
'x,y,z'
loop_
_atom_site_label
_atom_site_fract_x
_atom_site_fract_y
_atom_site_fract_z
_atom_site_occupancy
Ca1 0.176 0.324 0.000 1
Ca2 0.324 0.824 0.000 1
Ca3 0.676 0.176 0.000 1
Ca4 0.824 0.676 0.000 1
Zn1 0.000 0.000 0.000 1
Zn2 0.500 0.500 0.000 1
Ni1 0.123 0.623 0.000 1
Ni2 0.377 0.123 0.000 1
Ni3 0.623 0.877 0.000 1
Ni4 0.877 0.377 0.000 1
Pt1 0.000 0.500 0.500 1
Pt2 0.065 0.795 0.500 1
Pt3 0.205 0.065 0.500 1
Pt4 0.295 0.565 0.500 1
Pt5 0.435 0.295 0.500 1
Pt6 0.500 0.000 0.500 1
Pt7 0.565 0.705 0.500 1
Pt8 0.705 0.435 0.500 1
Pt9 0.795 0.935 0.500 1
Pt10 0.935 0.205 0.500 1
```

***

A relaxed structure of CaZrNi2Pt. Source: Alexandria via LeMat-Bulk, functional PBE.

Structure (CIF):
```
data_CaZrNi2Pt
_cell_length_a 4.318
_cell_length_b 4.318
_cell_length_c 5.140
_cell_angle_alpha 90.00
_cell_angle_beta 90.00
_cell_angle_gamma 90.00
_space_group_name_H-M_alt 'P 1'
_space_group_IT_number 1
loop_
_space_group_symop_operation_xyz
'x,y,z'
loop_
_atom_site_label
_atom_site_fract_x
_atom_site_fract_y
_atom_site_fract_z
_atom_site_occupancy
Ca1 0.000 0.000 0.000 1
Zr1 0.000 0.000 0.500 1
Ni1 0.000 0.500 0.000 1
Ni2 0.500 0.000 0.000 1
Pt1 0.500 0.500 0.500 1
```

***

Record order is preserved below.
Total moment: 0.00; 0.00; 0.89; 0.00 μB per cell
Record order is preserved below.
ΔE_f: -0.318; -0.004; -0.552; 1.369 eV per atom